# TmPaPd | Alexandria via LeMat-Bulk | GGA-PBE | optimized geometry
data_TmPaPd
_space_group_name_H-M_alt 'I 4 m m'
_space_group_IT_number 107
_space_group_name_Hall 'I 4 -2'
_cell_length_a 3.534
_cell_length_b 3.534
_cell_length_c 11.422
_cell_angle_alpha 90.00
_cell_angle_beta 90.00
_cell_angle_gamma 90.00
loop_
_atom_site_label
_atom_site_type_symbol
_atom_site_fract_x
_atom_site_fract_y
_atom_site_fract_z
_atom_site_occupancy
Tm1 Tm 0.000 0.000 0.000 1
Pa1 Pa 0.000 0.000 0.702 1
Pd1 Pd 0.000 0.000 0.338 1
# Total magnetic moment = 0.00 μB/f.u.
# Density of states at the Fermi level = 4.06 states/eV/f.u.
# Relative energy among the computed polymorphs = 0.0 meV per atom
# VASP energy = -40.11 eV for the cell shown
# Crystal system = tetragonal



# SrLiAlAs2 | Alexandria via LeMat-Bulk | GGA-PBE | optimized geometry
data_SrLiAlAs2
_space_group_name_H-M_alt 'C 1 2/m 1'
_space_group_IT_number 12
_cell_length_a 13.662
_cell_length_b 4.172
_cell_length_c 10.079
_cell_angle_alpha 90.00
_cell_angle_beta 125.16
_cell_angle_gamma 90.00
loop_
_space_group_symop_operation_xyz
'x,y,z'
'-x,-y,-z'
'-x,y,-z'
'x,-y,z'
'x+1/2,y+1/2,z'
'-x+1/2,-y+1/2,-z'
'-x+1/2,y+1/2,-z'
'x+1/2,-y+1/2,z'
loop_
_atom_site_label
_atom_site_type_symbol
_atom_site_fract_x
_atom_site_fract_y
_atom_site_fract_z
_atom_site_occupancy
Sr1 Sr 0.192 0.000 0.141 1
Li1 Li 0.149 0.500 0.427 1
Al1 Al 0.036 0.000 0.681 1
As1 As 0.063 0.500 0.847 1
As2 As 0.167 0.000 0.584 1
# Total magnetic moment = 0.00 μB/f.u.
# VASP energy = -83.42 eV for the cell shown
# Crystal system = monoclinic



# CrAs3C | Alexandria via LeMat-Bulk | GGA-PBE | optimized geometry
data_CrAs3C
_space_group_name_H-M_alt 'P m -3 m'
_space_group_IT_number 221
_space_group_name_Hall '-P 4 2 3'
_cell_length_a 4.244
_cell_length_b 4.244
_cell_length_c 4.244
_cell_angle_alpha 90.00
_cell_angle_beta 90.00
_cell_angle_gamma 90.00
loop_
_atom_site_label
_atom_site_type_symbol
_atom_site_fract_x
_atom_site_fract_y
_atom_site_fract_z
_atom_site_occupancy
Cr1 Cr 0.000 0.000 0.000 1
As1 As 0.000 0.500 0.500 1
C1 C 0.500 0.500 0.500 1
# Total magnetic moment = 0.00 μB/f.u.
# Density of states at the Fermi level = 7.66 states/eV/f.u.
# Relative energy among the computed polymorphs = 0.0 meV per atom
# VASP energy = -26.10 eV for the cell shown
# Crystal system = cubic



# Li2TePb | Alexandria via LeMat-Bulk | GGA-PBE | optimized geometry
data_Li2TePb
_space_group_name_H-M_alt 'P 4 m m'
_space_group_IT_number 99
_cell_length_a 4.162
_cell_length_b 4.162
_cell_length_c 5.727
_cell_angle_alpha 90.00
_cell_angle_beta 90.00
_cell_angle_gamma 90.00
loop_
_space_group_symop_operation_xyz
'x,y,z'
'-y,x,z'
'-x,-y,z'
'y,-x,z'
'-x,y,z'
'y,x,z'
'x,-y,z'
'-y,-x,z'
loop_
_atom_site_label
_atom_site_type_symbol
_atom_site_fract_x
_atom_site_fract_y
_atom_site_fract_z
_atom_site_occupancy
Li1 Li 0.000 0.000 0.000 1
Li2 Li 0.500 0.500 0.278 1
Te1 Te 0.500 0.500 0.793 1
Pb1 Pb 0.000 0.000 0.520 1
# Total magnetic moment = 0.00 μB/f.u.
# Density of states at the Fermi level = 1.86 states/eV/f.u.
# Relative energy among the computed polymorphs = 176.9 meV per atom
# VASP energy = -12.06 eV for the cell shown
# Crystal system = tetragonal
# Formation energy without anion corrections = -0.3451 eV per atom



# PrSn4Pd8 | Alexandria via LeMat-Bulk | GGA-PBE | optimized geometry
data_PrSn4Pd8
_space_group_name_H-M_alt 'F -4 3 m'
_space_group_IT_number 216
_space_group_name_Hall 'F -4 2 3'
_cell_length_a 10.452
_cell_length_b 10.452
_cell_length_c 10.452
_cell_angle_alpha 90.00
_cell_angle_beta 90.00
_cell_angle_gamma 90.00
loop_
_atom_site_label
_atom_site_type_symbol
_atom_site_fract_x
_atom_site_fract_y
_atom_site_fract_z
_atom_site_occupancy
Pr1 Pr 0.000 0.000 0.000 1
Sn1 Sn 0.104 0.104 0.604 1
Pd1 Pd 0.151 0.151 0.349 1
Pd2 Pd 0.151 0.151 0.849 1
# Total magnetic moment = 0.00 μB/f.u.
# Density of states at the Fermi level = 3.71 states/eV/f.u.
# VASP energy = -257.62 eV for the cell shown
# Crystal system = cubic



# Dy2TlAg | Alexandria via LeMat-Bulk | GGA-PBE | optimized geometry
data_Dy2TlAg
_space_group_name_H-M_alt 'P 4/m m m'
_space_group_IT_number 123
_space_group_name_Hall '-P 4 2'
_cell_length_a 3.655
_cell_length_b 3.655
_cell_length_c 7.693
_cell_angle_alpha 90.00
_cell_angle_beta 90.00
_cell_angle_gamma 90.00
loop_
_atom_site_label
_atom_site_type_symbol
_atom_site_fract_x
_atom_site_fract_y
_atom_site_fract_z
_atom_site_occupancy
Dy1 Dy 0.000 0.000 0.235 1
Tl1 Tl 0.500 0.500 0.500 1
Ag1 Ag 0.500 0.500 0.000 1
# Total magnetic moment = 0.00 μB/f.u.
# Density of states at the Fermi level = 3.20 states/eV/f.u.
# Relative energy among the computed polymorphs = 2.6 meV per atom
# VASP energy = -15.76 eV for the cell shown
# Crystal system = tetragonal